Record 1
## LiPaAlTc (PBE)

Data for a geometry-optimized LiPaAlTc structure.

```
LiPaAlTc
1.0
0.000 3.270 3.270
3.270 0.000 3.270
3.270 3.270 0.000
Li Pa Al Tc
1 1 1 1
direct
0.000 0.000 0.000
0.750 0.750 0.750
0.250 0.250 0.250
0.500 0.500 0.500
```

Output
As for the theoretical density: 8.6 g cm⁻³. The total energy is -6.510 eV per atom. The calculation puts the calculated volume at 70 Å³/cell.

Record 2
## La2SN (PBE)

Data for a geometry-optimized La2SN structure.

```
La2SN
1.0
5.722 0.000 0.000
0.000 5.698 0.000
-5.502 0.000 10.942
La S N
8 4 4
direct
0.099 0.246 0.102
0.099 0.754 0.602
0.339 0.246 0.853
0.339 0.754 0.353
0.661 0.246 0.647
0.661 0.754 0.147
0.901 0.246 0.398
0.901 0.754 0.898
0.378 0.253 0.375
0.378 0.747 0.875
0.622 0.253 0.125
0.622 0.747 0.625
0.092 0.237 0.624
0.092 0.763 0.124
0.908 0.237 0.876
0.908 0.763 0.376
```

Output
As for the theoretical density: 6.0 g cm⁻³. For the relative energy among the computed polymorphs, the calculation gives 67 meV/atom. The calculation puts the calculated volume at 357 Å³/cell. As for the raw formation energy: -1697 meV per atom.

Record 3
## SmLuTlCu (PBE)

Data for a geometry-optimized SmLuTlCu structure.

```
SmLuTlCu
1.0
0.000 3.663 3.663
3.663 0.000 3.663
3.663 3.663 0.000
Sm Lu Tl Cu
1 1 1 1
direct
0.000 0.000 0.000
0.500 0.500 0.500
0.250 0.250 0.250
0.750 0.750 0.750
```

Output
As for the theoretical density: 10.0 g cm⁻³. The total energy is -4.153 eV per atom. The calculation puts the calculated volume at 98 Å³/cell.

Record 4
## LiPuIn5 (PBE)

Data for a geometry-optimized LiPuIn5 structure.

```
LiPuIn5
1.0
4.674 0.000 0.000
0.000 4.674 0.000
0.000 0.000 7.955
Li Pu In
1 1 5
direct
0.000 0.000 0.000
0.500 0.500 0.500
0.000 0.000 0.500
0.000 0.500 0.201
0.000 0.500 0.799
0.500 0.000 0.201
0.500 0.000 0.799
```

Output
As for the theoretical density: 7.9 g cm⁻³. The total energy is -4.372 eV per atom. The calculation puts the calculated volume at 174 Å³/cell.

Q: The lowest theoretical density belongs to which entry?
A: La2SN

Q: Which of these has the highest calculated volume?
A: La2SN

Q: Which value of theoretical density does entry 4 give?
A: 7.9 g cm⁻³